No. 1
Compound: Zn3Pt2Rh
Source: Alexandria via LeMat-Bulk
Functional: PBE
Structure: relaxed

Computed properties:
Density of states at the Fermi level = 0.242 states/eV per atom
ΔH_f (0 K) = -512 meV per atom
Crystal system = tetragonal

Lattice parameters (Å, degrees): 3.062 3.062 9.140 90.00 90.00 90.00
Sites, in units of the cell vectors:
Zn: 0.000 0.000 0.000
Zn: 0.000 0.000 0.341
Zn: 0.000 0.000 0.659
Pt: 0.500 0.500 0.168
Pt: 0.500 0.500 0.832
Rh: 0.500 0.500 0.500

No. 2
Compound: GePdSeN2
Source: Alexandria via LeMat-Bulk
Functional: PBE
Structure: relaxed

Computed properties:
Density of states at the Fermi level = 0.973 states/eV per atom
Formation energy (no corrections) = 5.7 eV/f.u.
Energy relative to the lowest polymorph listed for this composition = 0.0 kJ/mol of atoms
Crystal system = tetragonal

Lattice parameters (Å, degrees): 3.616 3.616 7.156 90.00 90.00 90.00
Sites, in units of the cell vectors:
Ge: 0.000 0.000 0.000
Pd: 0.500 0.500 0.500
Se: 0.000 0.000 0.500
N: 0.000 0.500 0.000
N: 0.500 0.000 0.000

No. 3
Compound: Cs2Ac2US6
Source: Alexandria via LeMat-Bulk
Functional: PBE
Structure: relaxed

Computed properties:
Density of states at the Fermi level = 0.634 states/eV per atom
Formation energy (no corrections) = -19.1 eV/f.u.
Crystal system = monoclinic

Lattice parameters (Å, degrees): 7.488 7.488 8.602 98.44 98.44 119.42
Sites, in units of the cell vectors:
Cs: 0.169 0.831 0.000
Cs: 0.831 0.169 0.000
Ac: 0.334 0.666 0.500
Ac: 0.666 0.334 0.500
U: 0.000 0.000 0.500
S: 0.057 0.369 0.680
S: 0.243 0.243 0.319
S: 0.369 0.057 0.680
S: 0.631 0.943 0.320
S: 0.757 0.757 0.681
S: 0.943 0.631 0.320

No. 4
Compound: Zn5Ag3Sn12
Source: Alexandria via LeMat-Bulk
Functional: PBE
Structure: relaxed

Computed properties:
Density of states at the Fermi level = 0.568 states/eV per atom
ΔH_f (0 K) = 142 meV per atom
Crystal system = cubic

Lattice parameters (Å, degrees): 14.057 14.057 14.057 109.47 109.47 109.47
Sites, in units of the cell vectors:
Zn: 0.000 0.000 0.000
Zn: 0.000 0.000 0.500
Zn: 0.000 0.500 0.000
Zn: 0.000 0.500 0.500
Zn: 0.125 0.750 0.875
Zn: 0.125 0.875 0.250
Zn: 0.250 0.125 0.875
Zn: 0.250 0.625 0.375
Zn: 0.375 0.250 0.625
Zn: 0.375 0.625 0.750
Zn: 0.500 0.000 0.000
Zn: 0.500 0.000 0.500
Zn: 0.500 0.500 0.000
Zn: 0.500 0.500 0.500
Zn: 0.625 0.375 0.250
Zn: 0.625 0.750 0.375
Zn: 0.750 0.375 0.625
Zn: 0.750 0.875 0.125
Zn: 0.875 0.125 0.750
Zn: 0.875 0.250 0.125
Ag: 0.125 0.250 0.375
Ag: 0.125 0.375 0.750
Ag: 0.250 0.375 0.125
Ag: 0.250 0.875 0.625
Ag: 0.375 0.125 0.250
Ag: 0.375 0.750 0.125
Ag: 0.625 0.250 0.875
Ag: 0.625 0.875 0.750
Ag: 0.750 0.125 0.375
Ag: 0.750 0.625 0.875
Ag: 0.875 0.625 0.250
Ag: 0.875 0.750 0.625
Sn: 0.057 0.229 0.127
Sn: 0.057 0.328 0.930
Sn: 0.070 0.627 0.398
Sn: 0.070 0.943 0.672
Sn: 0.102 0.729 0.672
Sn: 0.102 0.873 0.430
Sn: 0.127 0.057 0.229
Sn: 0.127 0.570 0.898
Sn: 0.172 0.229 0.602
Sn: 0.172 0.443 0.570
Sn: 0.229 0.127 0.057
Sn: 0.229 0.602 0.172
Sn: 0.271 0.328 0.898
Sn: 0.271 0.443 0.373
Sn: 0.328 0.898 0.271
Sn: 0.328 0.930 0.057
Sn: 0.373 0.271 0.443
Sn: 0.373 0.602 0.930
Sn: 0.398 0.070 0.627
Sn: 0.398 0.828 0.771
Sn: 0.430 0.102 0.873
Sn: 0.430 0.828 0.557
Sn: 0.443 0.373 0.271
Sn: 0.443 0.570 0.172
Sn: 0.557 0.430 0.828
Sn: 0.557 0.627 0.729
Sn: 0.570 0.172 0.443
Sn: 0.570 0.898 0.127
Sn: 0.602 0.172 0.229
Sn: 0.602 0.930 0.373
Sn: 0.627 0.398 0.070
Sn: 0.627 0.729 0.557
Sn: 0.672 0.070 0.943
Sn: 0.672 0.102 0.729
Sn: 0.729 0.557 0.627
Sn: 0.729 0.672 0.102
Sn: 0.771 0.398 0.828
Sn: 0.771 0.873 0.943
Sn: 0.828 0.557 0.430
Sn: 0.828 0.771 0.398
Sn: 0.873 0.430 0.102
Sn: 0.873 0.943 0.771
Sn: 0.898 0.127 0.570
Sn: 0.898 0.271 0.328
Sn: 0.930 0.057 0.328
Sn: 0.930 0.373 0.602
Sn: 0.943 0.672 0.070
Sn: 0.943 0.771 0.873

No. 5
Compound: KSrSe2
Source: Alexandria via LeMat-Bulk
Functional: PBE
Structure: relaxed

Computed properties:
Density of states at the Fermi level = 1.886 states/eV per atom
Formation energy (no corrections) = -4.9 eV/f.u.
Crystal system = cubic

Lattice parameters (Å, degrees): 5.457 5.457 5.457 60.00 60.00 60.00
Sites, in units of the cell vectors:
K: 0.000 0.000 0.000
Sr: 0.500 0.500 0.500
Se: 0.250 0.250 0.250
Se: 0.750 0.750 0.750

No. 6
Compound: HgCl4
Source: Alexandria via LeMat-Bulk
Functional: PBE
Structure: relaxed

Computed properties:
Density of states at the Fermi level = 0.000 states/eV per atom
Formation energy (no corrections) = -1.7 eV/f.u.
Crystal system = monoclinic

Lattice parameters (Å, degrees): 4.660 4.660 8.441 101.80 101.80 84.46
Sites, in units of the cell vectors:
Hg: 0.000 0.000 0.000
Cl: 0.094 0.094 0.427
Cl: 0.334 0.334 0.154
Cl: 0.666 0.666 0.846
Cl: 0.906 0.906 0.573

Q: Which of these has the highest density of states at the Fermi level?
A: KSrSe2

Q: Number 5 is which compound?
A: KSrSe2

Q: The highest density of states at the Fermi level belongs to which entry?
A: KSrSe2

Q: Which of these has the lowest density of states at the Fermi level?
A: HgCl4